Model w:
# Pt4Rh3W

Pt4Rh3W after structural relaxation (PBE, the Alexandria database).

```
Pt4Rh3W
1.0
6.002 -2.347 0.000
6.002 2.347 0.000
-1.875 0.000 4.360
Pt Rh W
4 3 1
Direct
0.123 0.123 0.124
0.250 0.250 0.751
0.750 0.750 0.249
0.877 0.877 0.876
0.380 0.380 0.381
0.500 0.500 0.000
0.620 0.620 0.619
0.000 0.000 0.500
```

Values from the calculation:
- density (Mg/m³) = 17.21
- size of the total moment (μB per formula unit) = 0.0
- SG = C2/m (12)
- D(E_F) (states/eV per cell) = 9.4

Model x:
# Pt4Rh3W

Pt4Rh3W after structural relaxation (PBE, the Alexandria database).

```
Pt4Rh3W
1.0
11.085 -1.354 0.000
11.085 1.354 0.000
-0.274 0.000 4.643
Pt Rh W
4 3 1
Direct
0.098 0.098 0.253
0.195 0.195 0.890
0.805 0.805 0.110
0.902 0.902 0.747
0.301 0.301 0.604
0.500 0.500 0.000
0.699 0.699 0.396
0.000 0.000 0.500
```

Values from the calculation:
- density (Mg/m³) = 15.16
- size of the total moment (μB per formula unit) = 0.0
- SG = C2/m (12)
- D(E_F) (states/eV per cell) = 12.0

Of them, the most stable is model w and the least stable is model x.

Model w:
# Pt8Rh6W

Pt8Rh6W after structural relaxation (PBE, the Alexandria database).

```
Pt8Rh6W
1.0
3.650 2.107 5.315
-3.650 2.107 5.315
0.000 -4.214 5.315
Pt Rh W
8 6 1
Direct
0.095 0.661 0.358
0.245 0.245 0.245
0.339 0.642 0.905
0.358 0.095 0.661
0.642 0.905 0.339
0.661 0.358 0.095
0.755 0.755 0.755
0.905 0.339 0.642
0.135 0.421 0.835
0.165 0.865 0.579
0.421 0.835 0.135
0.579 0.165 0.865
0.835 0.135 0.421
0.865 0.579 0.165
0.500 0.500 0.500
```

Values from the calculation:
- density (Mg/m³) = 15.99
- size of the total moment (μB per formula unit) = 0.0
- SG = R-3 (148)
- D(E_F) (states/eV per cell) = 24.1

Model x:
# Pt8Rh6W

Pt8Rh6W after structural relaxation (PBE, the Alexandria database).

```
Pt8Rh6W
1.0
7.356 0.000 0.000
-3.678 6.371 0.000
0.000 0.000 5.317
Pt Rh W
8 6 1
Direct
0.032 0.725 0.145
0.275 0.307 0.145
0.307 0.032 0.855
0.333 0.667 0.328
0.667 0.333 0.672
0.693 0.968 0.145
0.725 0.693 0.855
0.968 0.275 0.855
0.049 0.670 0.637
0.330 0.380 0.637
0.380 0.049 0.363
0.620 0.951 0.637
0.670 0.620 0.363
0.951 0.330 0.363
0.000 0.000 0.500
```

Values from the calculation:
- density (Mg/m³) = 15.74
- size of the total moment (μB per formula unit) = 0.0
- SG = P-3 (147)
- D(E_F) (states/eV per cell) = 17.2

Of them, the most stable is model x and the least stable is model w.

Model w:
# Y4PtRh

Y4PtRh after structural relaxation (PBE, the Alexandria database).

```
Y4PtRh
1.0
0.000 4.173 4.173
4.173 0.000 4.173
4.173 4.173 0.000
Y Pt Rh
4 1 1
Direct
0.125 0.125 0.125
0.125 0.125 0.625
0.125 0.625 0.125
0.625 0.125 0.125
0.750 0.750 0.750
0.500 0.500 0.500
```

Values from the calculation:
- density (Mg/m³) = 7.47
- size of the total moment (μB per formula unit) = 0.0
- SG = F-43m (216)
- D(E_F) (states/eV per cell) = 9.8

Model x:
# Y4PtRh

Y4PtRh after structural relaxation (PBE, the Alexandria database).

```
Y4PtRh
1.0
4.657 -6.906 0.000
4.657 6.906 0.000
-4.656 0.000 5.047
Y Pt Rh
8 2 2
Direct
0.030 0.531 0.780
0.248 0.249 0.779
0.249 0.248 0.279
0.469 0.970 0.720
0.531 0.030 0.280
0.751 0.752 0.721
0.752 0.751 0.221
0.970 0.469 0.220
0.375 0.625 0.250
0.625 0.375 0.750
0.125 0.875 0.750
0.875 0.125 0.250
```

Values from the calculation:
- density (Mg/m³) = 6.69
- size of the total moment (μB per formula unit) = 0.0
- SG = C2/c (15)
- D(E_F) (states/eV per cell) = 12.6

Of them, the most stable is model x and the least stable is model w.

Model w:
# YPt2Rh2

YPt2Rh2 after structural relaxation (PBE, the Alexandria database).

```
YPt2Rh2
1.0
-1.914 1.914 6.292
1.914 -1.914 6.292
1.914 1.914 -6.292
Y Pt Rh
1 2 2
Direct
0.000 0.000 0.000
0.399 0.399 0.000
0.601 0.601 0.000
0.250 0.750 0.500
0.750 0.250 0.500
```

Values from the calculation:
- density (Mg/m³) = 12.33
- size of the total moment (μB per formula unit) = 0.0
- SG = I4/mmm (139)
- D(E_F) (states/eV per cell) = 6.9

Model x:
# YPt2Rh2

YPt2Rh2 after structural relaxation (PBE, the Alexandria database).

```
YPt2Rh2
1.0
7.214 0.000 0.000
0.000 7.214 0.000
0.000 0.000 3.357
Y Pt Rh
2 4 4
Direct
0.000 0.000 0.000
0.500 0.500 0.000
0.171 0.329 0.500
0.329 0.829 0.500
0.671 0.171 0.500
0.829 0.671 0.500
0.127 0.627 0.000
0.373 0.127 0.000
0.627 0.873 0.000
0.873 0.373 0.000
```

Values from the calculation:
- density (Mg/m³) = 13.02
- size of the total moment (μB per formula unit) = 0.0
- SG = P4/mbm (127)
- D(E_F) (states/eV per cell) = 14.4

Of them, the most stable is model w and the least stable is model x.

Model w:
# YPt3Rh

YPt3Rh after structural relaxation (PBE, the Alexandria database).

```
YPt3Rh
1.0
4.416 0.000 0.000
0.000 6.476 0.000
0.000 0.000 6.337
Y Pt Rh
2 6 2
Direct
0.250 0.250 0.245
0.750 0.750 0.755
0.250 0.050 0.756
0.250 0.450 0.756
0.250 0.750 0.453
0.750 0.250 0.547
0.750 0.550 0.244
0.750 0.950 0.244
0.250 0.750 0.054
0.750 0.250 0.946
```

Values from the calculation:
- density (Mg/m³) = 14.24
- size of the total moment (μB per formula unit) = 0.0
- SG = Pmmn (59)
- D(E_F) (states/eV per cell) = 13.5

Model x:
# YPt3Rh

YPt3Rh after structural relaxation (PBE, the Alexandria database).

```
YPt3Rh
1.0
4.840 0.000 0.000
0.000 4.840 0.000
0.000 0.000 4.840
Y Pt Rh
1 3 1
Direct
0.000 0.000 0.000
0.000 0.500 0.500
0.500 0.000 0.500
0.500 0.500 0.000
0.500 0.500 0.500
```

Values from the calculation:
- density (Mg/m³) = 11.38
- size of the total moment (μB per formula unit) = 2.0
- SG = Pm-3m (221)
- D(E_F) (states/eV per cell) = 3.9

Of them, the most stable is model w and the least stable is model x.

Model w:
# Zn3PtRh2

Zn3PtRh2 after structural relaxation (PBE, the Alexandria database).

```
Zn3PtRh2
1.0
4.298 0.000 0.000
-2.149 3.722 0.000
0.000 0.000 10.503
Zn Pt Rh
6 2 4
Direct
0.000 0.000 0.248
0.000 0.000 0.752
0.333 0.667 0.417
0.333 0.667 0.919
0.667 0.333 0.081
0.667 0.333 0.583
0.333 0.667 0.667
0.667 0.333 0.333
0.000 0.000 0.000
0.000 0.000 0.500
0.333 0.667 0.168
0.667 0.333 0.832
```

Values from the calculation:
- density (Mg/m³) = 11.80
- size of the total moment (μB per formula unit) = 0.0
- SG = P-3m1 (164)
- D(E_F) (states/eV per cell) = 2.6

Model x:
# Zn3PtRh2

Zn3PtRh2 after structural relaxation (PBE, the Alexandria database).

```
Zn3PtRh2
1.0
3.045 0.000 0.000
0.000 3.045 0.000
0.000 0.000 9.074
Zn Pt Rh
3 1 2
Direct
0.000 0.000 0.000
0.000 0.000 0.326
0.000 0.000 0.674
0.500 0.500 0.500
0.500 0.500 0.165
0.500 0.500 0.835
```

Values from the calculation:
- density (Mg/m³) = 11.78
- size of the total moment (μB per formula unit) = 0.0
- SG = P4/mmm (123)
- D(E_F) (states/eV per cell) = 2.1

Of them, the most stable is model w and the least stable is model x.